Entry from the Alexandria database: an optimized crystal structure of Cs2TeI4 (PBE).

Lattice parameters (Å, degrees): 8.7121 8.7121 8.0578 122.72 122.72 90.00
Closest atoms and distances in Å follow each position.
Positions (direct):
Cs: 0.7500 0.2500 0.5000  8 I 4.03
Cs: 0.2500 0.7500 0.5000  8 I 4.03
I: 0.2566 0.2566 0.0007  1 Te 3.00
Te: 0.5000 0.5000 0.0000  4 I 3.00
I: 0.2558 0.7435 0.9993  1 Te 3.00
I: 0.7442 0.7442 0.0007  1 Te 3.00
I: 0.7434 0.2558 0.9993  1 Te 3.00

* total energy: -2.533 eV per atom
* crystal system: tetragonal

Entry from the Alexandria database: an optimized crystal structure of Cs12Te3I5 (PBE).

Lattice parameters (Å, degrees): 19.3921 19.3921 19.3921 109.47 109.47 109.47
Closest atoms and distances in Å follow each position.
Positions (direct):
Cs: 0.1695 0.0881 0.7293  2 I 3.66-3.87, 1 Te 4.01
Cs: 0.6412 0.5814 0.9119  2 I 3.66-3.87, 1 Te 4.01
Cs: 0.2293 0.6695 0.0881  2 I 3.66-3.87, 1 Te 4.01
Te: 0.1250 0.2500 0.8750  8 Cs 4.01-4.12
I: 0.0000 0.5000 0.0000  6 Cs 3.87
Cs: 0.8588 0.5881 0.9186  2 I 3.66-3.87, 1 Te 4.01
Cs: 0.8305 0.9119 0.2707  2 I 3.66-3.87, 1 Te 4.01
Cs: 0.1695 0.0814 0.9401  2 I 3.66-3.87, 1 Te 4.01
Cs: 0.9186 0.8305 0.5599  2 I 3.66-3.87, 1 Te 4.01
Cs: 0.1412 0.7293 0.5599  2 I 3.66-3.87, 1 Te 4.01
Cs: 0.0814 0.9119 0.1412  2 I 3.66-3.87, 1 Te 4.01
Cs: 0.5599 0.2293 0.1412  2 I 3.66-3.87, 1 Te 4.01
Te: 0.6250 0.2500 0.3750  8 Cs 4.01-4.12
Cs: 0.6412 0.0599 0.2293  2 I 3.66-3.87, 1 Te 4.01
I: 0.8750 0.2500 0.6250  4 Cs 3.66
Cs: 0.4401 0.7707 0.8588  2 I 3.66-3.87, 1 Te 4.01
I: 0.0000 0.5000 0.5000  6 Cs 3.87
Te: 0.2500 0.6250 0.8750  8 Cs 4.01-4.12
I: 0.0000 0.0000 0.5000  6 Cs 3.87
Cs: 0.5814 0.6412 0.4119  2 I 3.66-3.87, 1 Te 4.01
Te: 0.7500 0.8750 0.6250  8 Cs 4.01-4.12
Cs: 0.4401 0.6695 0.0814  2 I 3.66-3.87, 1 Te 4.01
Cs: 0.2707 0.8588 0.9401  2 I 3.66-3.87, 1 Te 4.01
Cs: 0.0814 0.1695 0.4401  2 I 3.66-3.87, 1 Te 4.01
I: 0.6250 0.7500 0.8750  4 Cs 3.66
Cs: 0.0881 0.9186 0.3588  2 I 3.66-3.87, 1 Te 4.01
Cs: 0.4186 0.3588 0.5881  2 I 3.66-3.87, 1 Te 4.01
Te: 0.7500 0.3750 0.1250  8 Cs 4.01-4.12
Cs: 0.4186 0.0599 0.3305  2 I 3.66-3.87, 1 Te 4.01
I: 0.6250 0.8750 0.2500  4 Cs 3.66
Cs: 0.5881 0.8588 0.4186  2 I 3.66-3.87, 1 Te 4.01
I: 0.1250 0.7500 0.3750  4 Cs 3.66
Te: 0.8750 0.1250 0.2500  8 Cs 4.01-4.12
I: 0.0000 0.0000 0.0000  6 Cs 3.87
Cs: 0.9186 0.0881 0.8588  2 I 3.66-3.87, 1 Te 4.01
Cs: 0.8588 0.2707 0.4401  2 I 3.66-3.87, 1 Te 4.01
Te: 0.3750 0.6250 0.2500  8 Cs 4.01-4.12
Cs: 0.4119 0.2707 0.3305  2 I 3.66-3.87, 1 Te 4.01
Cs: 0.9119 0.0814 0.6412  2 I 3.66-3.87, 1 Te 4.01
Cs: 0.8305 0.9186 0.0599  2 I 3.66-3.87, 1 Te 4.01
Cs: 0.6695 0.4401 0.5814  2 I 3.66-3.87, 1 Te 4.01
Cs: 0.2707 0.4119 0.8305  2 I 3.66-3.87, 1 Te 4.01
Cs: 0.0599 0.6412 0.7293  2 I 3.66-3.87, 1 Te 4.01
I: 0.8750 0.6250 0.7500  4 Cs 3.66
I: 0.2500 0.8750 0.1250  4 Cs 3.66
Cs: 0.2293 0.5599 0.6412  2 I 3.66-3.87, 1 Te 4.01
Cs: 0.5881 0.7293 0.6695  2 I 3.66-3.87, 1 Te 4.01
Cs: 0.0881 0.1695 0.2293  2 I 3.66-3.87, 1 Te 4.01
I: 0.3750 0.1250 0.7500  4 Cs 3.66
Cs: 0.7293 0.1412 0.0599  2 I 3.66-3.87, 1 Te 4.01
I: 0.5000 0.5000 0.5000  6 Cs 3.87
Cs: 0.0599 0.4186 0.8305  2 I 3.66-3.87, 1 Te 4.01
Cs: 0.5814 0.9401 0.6695  2 I 3.66-3.87, 1 Te 4.01
Cs: 0.9119 0.8305 0.7707  2 I 3.66-3.87, 1 Te 4.01
Cs: 0.3305 0.7707 0.4119  2 I 3.66-3.87, 1 Te 4.01
I: 0.5000 0.0000 0.0000  6 Cs 3.87
I: 0.7500 0.6250 0.3750  4 Cs 3.66
I: 0.1250 0.3750 0.2500  4 Cs 3.66
Te: 0.6250 0.3750 0.7500  8 Cs 4.01-4.12
Te: 0.1250 0.8750 0.7500  8 Cs 4.01-4.12
I: 0.3750 0.2500 0.1250  4 Cs 3.66
Te: 0.8750 0.7500 0.1250  8 Cs 4.01-4.12
Cs: 0.7707 0.3305 0.9119  2 I 3.66-3.87, 1 Te 4.01
Cs: 0.3305 0.5599 0.4186  2 I 3.66-3.87, 1 Te 4.01
I: 0.5000 0.0000 0.5000  6 Cs 3.87
Cs: 0.5599 0.3305 0.9186  2 I 3.66-3.87, 1 Te 4.01
Cs: 0.3588 0.4186 0.0881  2 I 3.66-3.87, 1 Te 4.01
Cs: 0.7707 0.4401 0.3588  2 I 3.66-3.87, 1 Te 4.01
Cs: 0.9401 0.5814 0.1695  2 I 3.66-3.87, 1 Te 4.01
I: 0.2500 0.3750 0.6250  4 Cs 3.66
Te: 0.3750 0.7500 0.6250  8 Cs 4.01-4.12
Cs: 0.3588 0.9401 0.7707  2 I 3.66-3.87, 1 Te 4.01
Cs: 0.4119 0.1412 0.5814  2 I 3.66-3.87, 1 Te 4.01
I: 0.7500 0.1250 0.8750  4 Cs 3.66
Te: 0.2500 0.1250 0.3750  8 Cs 4.01-4.12
Cs: 0.6695 0.2293 0.5881  2 I 3.66-3.87, 1 Te 4.01
Cs: 0.9401 0.3588 0.2707  2 I 3.66-3.87, 1 Te 4.01
Cs: 0.1412 0.4119 0.0814  2 I 3.66-3.87, 1 Te 4.01
Cs: 0.7293 0.5881 0.1695  2 I 3.66-3.87, 1 Te 4.01
I: 0.5000 0.5000 0.0000  6 Cs 3.87

* total energy: -2.514 eV per atom
* crystal system: cubic